(one)
# VNiRu3 (PBE, relaxed)
data_VNiRu3
_chemical_formula_sum 'V1 Ni1 Ru3'
_cell_length_a 4.4156
_cell_length_b 4.4156
_cell_length_c 4.4156
_cell_angle_alpha 90.00
_cell_angle_beta 90.00
_cell_angle_gamma 90.00
_space_group_name_H-M_alt 'P m -3 m'
_space_group_IT_number 221
_space_group_name_Hall '-P 4 2 3'
loop_
_atom_site_label
_atom_site_type_symbol
_atom_site_fract_x
_atom_site_fract_y
_atom_site_fract_z
_atom_site_occupancy
V1 V 0.0000 0.0000 0.0000 1
Ni1 Ni 0.5000 0.5000 0.5000 1
Ru1 Ru 0.0000 0.5000 0.5000 1
# Total moment = 0.523 μB per atom


(two)
# VNiRu3 (PBE, relaxed)
data_VNiRu3
_chemical_formula_sum 'V1 Ni1 Ru3'
_cell_length_a 4.4091
_cell_length_b 4.4091
_cell_length_c 4.4091
_cell_angle_alpha 90.00
_cell_angle_beta 90.00
_cell_angle_gamma 90.00
_space_group_name_H-M_alt 'P m -3 m'
_space_group_IT_number 221
_space_group_name_Hall '-P 4 2 3'
loop_
_atom_site_label
_atom_site_type_symbol
_atom_site_fract_x
_atom_site_fract_y
_atom_site_fract_z
_atom_site_occupancy
V1 V 0.0000 0.0000 0.0000 1
Ni1 Ni 0.5000 0.5000 0.5000 1
Ru1 Ru 0.0000 0.0000 0.5000 1
# Total moment = 0.594 μB per atom


Most stable: (two)


(one)
# Ni4RuW (PBE, relaxed)
data_Ni4RuW
_chemical_formula_sum 'Ni8 Ru2 W2'
_cell_length_a 3.7097
_cell_length_b 10.6643
_cell_length_c 3.7137
_cell_angle_alpha 90.00
_cell_angle_beta 90.00
_cell_angle_gamma 90.00
_space_group_name_H-M_alt 'C m m m'
_space_group_IT_number 65
_space_group_name_Hall '-C 2 2'
loop_
_atom_site_label
_atom_site_type_symbol
_atom_site_fract_x
_atom_site_fract_y
_atom_site_fract_z
_atom_site_occupancy
Ni1 Ni 0.0000 0.1687 0.0000 1
Ni2 Ni 0.0000 0.3294 0.5000 1
Ru1 Ru 0.0000 0.0000 0.5000 1
W1 W 0.0000 0.5000 0.0000 1
# Total moment = 0.000 μB per atom


(two)
# Ni4RuW (PBE, relaxed)
data_Ni4RuW
_chemical_formula_sum 'Ni16 Ru4 W4'
_cell_length_a 6.6021
_cell_length_b 6.6021
_cell_length_c 6.6021
_cell_angle_alpha 90.00
_cell_angle_beta 90.00
_cell_angle_gamma 90.00
_space_group_name_H-M_alt 'F -4 3 m'
_space_group_IT_number 216
_space_group_name_Hall 'F -4 2 3'
loop_
_atom_site_label
_atom_site_type_symbol
_atom_site_fract_x
_atom_site_fract_y
_atom_site_fract_z
_atom_site_occupancy
Ni1 Ni 0.1247 0.1247 0.1247 1
Ru1 Ru 0.2500 0.2500 0.7500 1
W1 W 0.0000 0.0000 0.5000 1
# Total moment = 0.248 μB per atom


Most stable: (one)